[1]
## YInP (PBE)

Data for a geometry-optimized YInP structure.

```
YInP
1.0
0.000 3.434 3.434
3.434 0.000 3.434
3.434 3.434 0.000
Y In P
1 1 1
Direct
0.250 0.250 0.250
0.000 0.000 0.000
0.500 0.500 0.500
```

Calculated values
Symmetry ... F-43m (216)

***

[2]
## BaEu2Cd (PBE)

Data for a geometry-optimized BaEu2Cd structure.

```
BaEu2Cd
1.0
5.938 0.000 0.000
2.969 5.142 0.000
2.969 1.714 4.848
Eu Ba Cd
2 1 1
Direct
0.250 0.250 0.250
0.750 0.750 0.750
0.000 0.000 0.000
0.500 0.500 0.500
```

Calculated values
Symmetry ... Fm-3m (225)
Distance to the lowest polymorph of the same formula ... 117 meV/atom

***

[3]
## ZnRuCl2 (PBE)

Data for a geometry-optimized ZnRuCl2 structure.

```
ZnRuCl2
1.0
-1.371 -2.234 -1.649
3.409 -2.000 -0.125
-0.629 -4.083 6.056
Ru Zn Cl
1 1 2
Direct
0.000 0.287 0.578
0.500 0.749 0.681
0.000 0.077 0.902
0.500 0.388 0.339
```

Calculated values
Symmetry ... Pm (6)
Raw formation energy ... -226 meV per atom
Distance to the lowest polymorph of the same formula ... 47 meV/atom

***

[4]
## CdHgSe2 (PBE)

Data for a geometry-optimized CdHgSe2 structure.

```
CdHgSe2
1.0
6.235 0.000 0.000
0.000 6.235 0.000
3.117 3.117 6.221
Hg Se Cd
2 4 2
Direct
0.000 0.000 0.000
0.750 0.250 0.500
0.622 0.125 0.250
0.128 0.625 0.250
0.375 0.378 0.750
0.875 0.872 0.750
0.500 0.500 0.000
0.250 0.750 0.500
```

Calculated values
Symmetry ... I-42d (122)
Raw formation energy ... -417 meV per atom
Distance to the lowest polymorph of the same formula ... 1 meV/atom

***

[5]
## KMg4Tc (PBE)

Data for a geometry-optimized KMg4Tc structure.

```
KMg4Tc
1.0
3.676 -1.460 4.377
2.368 4.207 3.391
-1.719 0.579 5.614
K Mg Tc
1 4 1
Direct
0.000 0.000 0.000
0.869 0.377 0.377
0.377 0.377 0.869
0.377 0.869 0.377
0.377 0.377 0.377
0.750 0.750 0.750
```

Calculated values
Symmetry ... F-43m (216)

***

Number 1: total DFT energy (no corrections) -5.024 eV/atom, M_tot 0.00 Bohr magnetons per cell. Number 2: total DFT energy (no corrections) -5.875 eV/atom, M_tot 14.64 Bohr magnetons per cell. Number 3: total DFT energy (no corrections) -3.787 eV/atom, M_tot 0.00 Bohr magnetons per cell. Number 4: total DFT energy (no corrections) -2.463 eV/atom, M_tot 0.00 Bohr magnetons per cell. Number 5: total DFT energy (no corrections) -2.349 eV/atom, M_tot 2.56 Bohr magnetons per cell.